Arrangement w

BeMo2O2: optimized geometry, GGA+U.

The space group is P4/mbm (No. 127) and the conventional cell measures 6.450, 6.450 and 2.615 Å, with angles of 90.00, 90.00 and 90.00 degrees. The distinct sites, in fractional coordinates, are Be at (0.000, 0.000, 0.000), Mo at (0.175, 0.325, 0.000) and O at (0.125, 0.625, 0.500).

The calculation puts the density of states at the Fermi level at 0.32 states/eV per atom.

***

Arrangement x

BeMo2O2: optimized geometry, GGA+U.

The space group is I4/mmm (No. 139) and the conventional cell measures 3.429, 3.429 and 10.169 Å, with angles of 90.00, 90.00 and 90.00 degrees. The distinct sites, in fractional coordinates, are Be at (0.000, 0.000, 0.000), Mo at (0.000, 0.000, 0.372) and O at (0.000, 0.500, 0.250).

The calculation puts the density of states at the Fermi level at 0.17 states/eV per atom.

***

We find arrangement x to be the most stable, with the next structure 511 meV per atom higher.

***

Arrangement w

Be3MoO: optimized geometry, GGA+U.

The space group is Pm-3m (No. 221) and the conventional cell measures 4.417, 4.417 and 4.417 Å, with angles of 90.00, 90.00 and 90.00 degrees. The distinct sites, in fractional coordinates, are Be at (0.000, 0.000, 0.500), Mo at (0.000, 0.000, 0.000) and O at (0.500, 0.500, 0.500).

The calculation puts the density of states at the Fermi level at 0.60 states/eV per atom.

***

Arrangement x

Be3MoO: optimized geometry, GGA+U.

The space group is Pm-3m (No. 221) and the conventional cell measures 3.680, 3.680 and 3.680 Å, with angles of 90.00, 90.00 and 90.00 degrees. The distinct sites, in fractional coordinates, are Be at (0.000, 0.000, 0.500), Mo at (0.500, 0.500, 0.500) and O at (0.000, 0.000, 0.000).

The calculation puts the density of states at the Fermi level at 0.71 states/eV per atom.

***

We find arrangement x to be the most stable, with the next structure 1996 meV per atom higher.

***

Arrangement w

BeMoP2O: optimized geometry, GGA+U.

The space group is P4/mmm (No. 123) and the conventional cell measures 4.818, 4.818 and 3.758 Å, with angles of 90.00, 90.00 and 90.00 degrees. The distinct sites, in fractional coordinates, are Be at (0.000, 0.000, 0.000), Mo at (0.500, 0.500, 0.500), P at (0.000, 0.500, 0.500) and O at (0.500, 0.500, 0.000).

The calculation puts the density of states at the Fermi level at 0.24 states/eV per atom.

***

Arrangement x

BeMoP2O: optimized geometry, GGA+U.

The space group is P4/mmm (No. 123) and the conventional cell measures 4.885, 4.885 and 2.958 Å, with angles of 90.00, 90.00 and 90.00 degrees. The distinct sites, in fractional coordinates, are Be at (0.000, 0.000, 0.000), Mo at (0.500, 0.500, 0.500), P at (0.000, 0.500, 0.000) and O at (0.000, 0.000, 0.500).

The calculation puts the density of states at the Fermi level at 0.59 states/eV per atom.

***

We find arrangement x to be the most stable, with the next structure 399 meV per atom higher.